La2Dy5Y4, relaxed, DFT PBE-GGA; ΔE to the lowest computed polymorph = 60 meV/atom; energy of formation from the pure elements = 0.208 eV/atom; electronic total energy = -5.131 eV per atom
1.0
3.508 0.000 0.000
0.000 9.116 0.000
-1.754 -4.558 11.751
La Dy Y
2 5 4
Cartesian
0.000 0.000 6.210 La
1.754 4.558 5.541 La
1.754 -2.832 8.508 Dy
1.754 0.000 0.000 Dy
0.000 7.390 3.243 Dy
1.754 2.832 8.508 Dy
0.000 1.726 3.243 Dy
0.000 6.263 0.000 Y
0.000 2.854 0.000 Y
0.000 0.000 9.404 Y
1.754 4.558 2.346 Y